i:
Material: LiLaPmZn
Method: DFT, GGA-PBE
State: optimized geometry

```
LiLaPmZn
1.0
5.312 0.000 0.000
2.656 4.601 0.000
2.656 1.534 4.338
Zn La Li Pm
1 1 1 1
Cartesian
5.312 3.067 2.169
2.656 1.534 1.084
0.000 0.000 0.000
7.969 4.601 3.253
```

Properties
D(E_F): 6.4 states/eV per cell

ii:
Material: LiLaPmZn
Method: DFT, GGA-PBE
State: optimized geometry

```
LiLaPmZn
1.0
3.799 0.000 0.000
0.000 3.799 0.000
0.000 0.000 7.471
Li La Pm Zn
1 1 1 1
Cartesian
0.000 0.000 6.478
1.900 1.900 4.380
1.900 1.900 0.958
0.000 0.000 2.588
```

Properties
D(E_F): 4.8 states/eV per cell

Stability summary: most stable ii, least stable i.

i:
Material: LiLaPr
Method: DFT, GGA-PBE
State: optimized geometry

```
LiLaPr
1.0
3.795 0.000 0.000
0.000 3.795 0.000
-1.897 -1.897 6.534
Pr La Li
1 1 1
Cartesian
0.000 0.000 4.188
0.000 0.000 0.141
1.897 1.897 2.205
```

Properties
D(E_F): 4.1 states/eV per cell

ii:
Material: LiLaPr
Method: DFT, GGA-PBE
State: optimized geometry

```
LiLaPr
1.0
-3.115 1.839 -0.231
0.171 -3.429 -1.161
-2.212 -2.762 7.832
Pr Li La
1 1 1
Cartesian
-2.737 -0.813 1.998
-0.004 -0.005 0.014
-2.416 -3.535 4.429
```

Properties
D(E_F): 3.2 states/eV per cell

Stability summary: most stable i, least stable ii.

i:
Material: LiLaPr
Method: DFT, GGA-PBE
State: optimized geometry

```
LiLaPr
1.0
2.640 2.634 -0.153
-2.640 2.634 -0.153
0.000 0.784 13.459
Li La Pr
2 2 2
Cartesian
0.000 4.383 7.150
0.000 1.669 6.004
0.000 4.657 11.891
0.000 1.396 1.263
0.000 1.876 9.486
0.000 4.176 3.668
```

Properties
D(E_F): 7.4 states/eV per cell

ii:
Material: LiLaPr
Method: DFT, GGA-PBE
State: optimized geometry

```
LiLaPr
1.0
6.499 0.735 -0.002
2.079 6.201 -0.002
2.179 1.762 4.800
Pr Li La
2 2 2
Cartesian
7.119 5.757 2.334
3.097 2.505 2.131
6.378 2.496 0.650
3.775 5.715 0.650
6.241 2.702 3.856
3.948 5.537 3.856
```

Properties
D(E_F): 8.1 states/eV per cell

Stability summary: most stable i, least stable ii.

i:
Material: LiLaPr2
Method: DFT, GGA-PBE
State: optimized geometry

```
LiLaPr2
1.0
5.723 0.000 0.000
2.861 4.956 0.000
2.861 1.652 4.679
Li La Pr
1 1 2
Cartesian
8.584 4.956 3.510
5.723 3.304 2.331
8.584 4.956 0.008
2.861 1.652 1.169
```

Properties
D(E_F): 7.2 states/eV per cell

ii:
Material: LiLaPr2
Method: DFT, GGA-PBE
State: optimized geometry

```
LiLaPr2
1.0
3.768 0.000 0.000
0.000 3.768 0.000
0.000 0.000 9.100
Pr Li La
2 1 1
Cartesian
0.000 0.000 7.077
0.000 0.000 2.023
1.884 1.884 0.000
1.884 1.884 4.550
```

Properties
D(E_F): 6.3 states/eV per cell

Stability summary: most stable ii, least stable i.